## Tc4CO2 (PBE-GGA)

Data for a geometry-optimized Tc4CO2 structure.

a = 4.0120 Å, b = 4.0120 Å, c = 5.9377 Å
α = 70.25°, β = 70.25°, γ = 90.00°
Atoms (fractional coordinates):
1 Tc 0.7950 0.7950 0.4100
2 O 0.6049 0.6049 0.7901
3 Tc 0.0000 0.5000 0.0000
4 Tc 0.2050 0.2050 0.5900
5 Tc 0.5000 0.0000 0.0000
6 C 0.0000 0.0000 0.0000
7 O 0.3951 0.3951 0.2099

Calculated values
Its symmetry is I4/mmm. For the total energy, the calculation gives -8.38 eV per atom. As for the spin magnetization: 0.00 μB per formula unit. The calculation puts the density of states at the Fermi level at 6.10 states/eV per cell. The uncorrected formation energy comes out at 2.0 eV/f.u.